Record 1
RbTmCu2Cl8 (PBE-GGA, optimized geometry); ΔE_f (raw) = -1282 meV/atom; Fermi-level density of states = 0.33 states/eV/atom; mass density = 3.002 g/cm³; space group = C2/m, No. 12
1.0
4.902 -3.732 0.000
4.902 3.732 0.000
-0.096 0.000 10.056
Rb Tm Cu Cl
1 1 2 8
Direct
0.000 0.000 0.000 Rb
0.000 0.000 0.500 Tm
0.363 0.363 0.289 Cu
0.637 0.637 0.711 Cu
0.217 0.754 0.303 Cl
0.246 0.783 0.697 Cl
0.267 0.267 0.491 Cl
0.329 0.329 0.075 Cl
0.671 0.671 0.925 Cl
0.733 0.733 0.509 Cl
0.754 0.217 0.303 Cl
0.783 0.246 0.697 Cl

Record 2
BaCa2PtI (PBE-GGA, optimized geometry); ΔE_f (raw) = -771 meV/atom; Fermi-level density of states = 0.59 states/eV/atom; mass density = 4.463 g/cm³; space group = P4/mmm, No. 123
1.0
5.596 0.000 0.000
0.000 5.596 0.000
0.000 0.000 6.409
Ba Ca Pt I
1 2 1 1
Direct
0.000 0.000 0.000 Ba
0.000 0.500 0.500 Ca
0.500 0.000 0.500 Ca
0.000 0.000 0.500 Pt
0.500 0.500 0.000 I

Record 3
Pr3Ho2Cd2 (PBE-GGA, optimized geometry); Fermi-level density of states = 1.15 states/eV/atom; mass density = 7.630 g/cm³; space group = Cmmm, No. 65; DFT formation energy = -0.059 eV per atom
1.0
2.582 -11.659 0.000
2.582 11.659 0.000
0.000 0.000 3.533
Pr Ho Cd
3 2 2
Direct
0.000 0.000 0.000 Pr
0.147 0.853 0.000 Pr
0.853 0.147 0.000 Pr
0.290 0.710 0.500 Ho
0.710 0.290 0.500 Ho
0.430 0.570 0.500 Cd
0.570 0.430 0.500 Cd